Version A
Here is crystalline LaReOs at its relaxed geometry from Alexandria via LeMat-Bulk. Energies are from GGA-PBEsol.

abc: 4.116 4.116 4.672
angles: 90.00 90.00 120.00
Sites, in units of the cell vectors:
La: 0.000 0.000 0.000
Os: 0.333 0.667 0.458
Re: 0.667 0.333 0.542

Values from the calculation:
N(E_F) = 1.8 states/eV per cell
space-group type = P3m1

---

Version B
Here is crystalline LaReOs at its relaxed geometry from Alexandria via LeMat-Bulk. Energies are from GGA-PBEsol.

abc: 4.394 4.394 4.394
angles: 60.00 60.00 60.00
Sites, in units of the cell vectors:
La: 0.750 0.750 0.750
Os: 0.000 0.000 0.000
Re: 0.500 0.500 0.500

Values from the calculation:
N(E_F) = 4.4 states/eV per cell
space-group type = F-43m

---

version A comes first in stability; the runner-up is 165.3 kJ/mol of atoms higher.

---

Version A
Here is crystalline LaOsRh2 at its relaxed geometry from Alexandria via LeMat-Bulk. Energies are from GGA-PBEsol.

abc: 2.849 2.849 8.260
angles: 90.00 90.00 90.00
Sites, in units of the cell vectors:
La: 0.500 0.500 0.000
Os: 0.500 0.500 0.500
Rh: 0.000 0.000 0.707
Rh: 0.000 0.000 0.293

Values from the calculation:
N(E_F) = 3.9 states/eV per cell
space-group type = P4/mmm

---

Version B
Here is crystalline LaOsRh2 at its relaxed geometry from Alexandria via LeMat-Bulk. Energies are from GGA-PBEsol.

abc: 4.077 4.077 4.978
angles: 114.17 114.17 90.00
Sites, in units of the cell vectors:
La: 0.500 0.500 0.000
Os: 0.250 0.750 0.500
Rh: 0.000 0.000 0.000
Rh: 0.750 0.250 0.500

Values from the calculation:
N(E_F) = 4.5 states/eV per cell
space-group type = I-4m2

---

version A comes first in stability; the runner-up is 11.4 kJ/mol of atoms higher.

---

Version A
Here is crystalline LaOsRu at its relaxed geometry from Alexandria via LeMat-Bulk. Energies are from GGA-PBEsol.

abc: 2.854 2.854 7.531
angles: 90.00 90.00 120.00
Sites, in units of the cell vectors:
La: 0.000 0.000 0.002
Os: 0.333 0.667 0.630
Ru: 0.667 0.333 0.368

Values from the calculation:
N(E_F) = 3.6 states/eV per cell
space-group type = P3m1

---

Version B
Here is crystalline LaOsRu at its relaxed geometry from Alexandria via LeMat-Bulk. Energies are from GGA-PBEsol.

abc: 4.395 4.395 4.395
angles: 60.00 60.00 60.00
Sites, in units of the cell vectors:
La: 0.250 0.250 0.250
Os: 0.000 0.000 0.000
Ru: 0.500 0.500 0.500

Values from the calculation:
N(E_F) = 4.4 states/eV per cell
space-group type = F-43m

---

version A comes first in stability; the runner-up is 71.4 kJ/mol of atoms higher.

---

Version A
Here is crystalline LaSc2Os at its relaxed geometry from Alexandria via LeMat-Bulk. Energies are from GGA-PBEsol.

abc: 3.389 4.894 6.105
angles: 113.63 106.12 90.00
Sites, in units of the cell vectors:
La: 0.543 0.543 0.085
Os: 0.260 0.760 0.519
Sc: 0.946 0.946 0.891
Sc: 0.752 0.252 0.504

Values from the calculation:
N(E_F) = 2.9 states/eV per cell
space-group type = Imm2

---

Version B
Here is crystalline LaSc2Os at its relaxed geometry from Alexandria via LeMat-Bulk. Energies are from GGA-PBEsol.

abc: 4.896 4.896 4.896
angles: 60.00 60.00 60.00
Sites, in units of the cell vectors:
La: 0.500 0.500 0.500
Os: 0.250 0.250 0.250
Sc: 0.000 0.000 0.000
Sc: 0.750 0.750 0.750

Values from the calculation:
N(E_F) = 4.8 states/eV per cell
space-group type = F-43m

---

version A comes first in stability; the runner-up is 11.6 kJ/mol of atoms higher.

---

Version A
Here is crystalline LaSc2Os at its relaxed geometry from Alexandria via LeMat-Bulk. Energies are from GGA-PBEsol.

abc: 3.228 3.228 8.681
angles: 90.00 90.00 90.00
Sites, in units of the cell vectors:
Sc: 0.000 0.000 0.674
Sc: 0.000 0.000 0.326
Os: 0.500 0.500 0.500
La: 0.500 0.500 0.000

Values from the calculation:
N(E_F) = 3.2 states/eV per cell
space-group type = P4/mmm

---

Version B
Here is crystalline LaSc2Os at its relaxed geometry from Alexandria via LeMat-Bulk. Energies are from GGA-PBEsol.

abc: 4.840 4.840 4.840
angles: 60.00 60.00 60.00
Sites, in units of the cell vectors:
La: 0.000 0.000 0.000
Os: 0.500 0.500 0.500
Sc: 0.250 0.250 0.250
Sc: 0.750 0.750 0.750

Values from the calculation:
N(E_F) = 5.5 states/eV per cell
space-group type = Fm-3m

---

version A comes first in stability; the runner-up is 26.8 kJ/mol of atoms higher.

---

Version A
Here is crystalline SrLaOs2 at its relaxed geometry from Alexandria via LeMat-Bulk. Energies are from GGA-PBEsol.

abc: 3.026 3.026 9.506
angles: 90.00 90.00 113.08
Sites, in units of the cell vectors:
La: 0.500 0.500 0.000
Os: 0.000 0.000 0.240
Os: 0.000 0.000 0.760
Sr: 0.500 0.500 0.500

Values from the calculation:
N(E_F) = 3.1 states/eV per cell
space-group type = Cmmm

---

Version B
Here is crystalline SrLaOs2 at its relaxed geometry from Alexandria via LeMat-Bulk. Energies are from GGA-PBEsol.

abc: 3.509 3.509 7.127
angles: 90.00 90.00 90.00
Sites, in units of the cell vectors:
La: 0.500 0.500 0.500
Os: 0.000 0.000 0.714
Os: 0.000 0.000 0.286
Sr: 0.500 0.500 0.000

Values from the calculation:
N(E_F) = 7.1 states/eV per cell
space-group type = P4/mmm

---

version B comes first in stability; the runner-up is 4.7 kJ/mol of atoms higher.

---

Version A
Here is crystalline SrLaOs2 at its relaxed geometry from Alexandria via LeMat-Bulk. Energies are from GGA-PBEsol.

abc: 4.952 4.952 4.952
angles: 60.00 60.00 60.00
Sites, in units of the cell vectors:
La: 0.000 0.000 0.000
Os: 0.250 0.250 0.250
Os: 0.750 0.750 0.750
Sr: 0.500 0.500 0.500

Values from the calculation:
N(E_F) = 6.0 states/eV per cell
space-group type = Fm-3m

---

Version B
Here is crystalline SrLaOs2 at its relaxed geometry from Alexandria via LeMat-Bulk. Energies are from GGA-PBEsol.

abc: 3.278 3.278 9.355
angles: 79.91 79.91 60.00
Sites, in units of the cell vectors:
La: 0.000 0.000 0.000
Os: 0.254 0.254 0.237
Os: 0.746 0.746 0.763
Sr: 0.500 0.500 0.500

Values from the calculation:
N(E_F) = 2.4 states/eV per cell
space-group type = R-3m

---

version A comes first in stability; the runner-up is 12.7 kJ/mol of atoms higher.

---

Version A
Here is crystalline Sr2LaOs at its relaxed geometry from Alexandria via LeMat-Bulk. Energies are from GGA-PBEsol.

abc: 3.375 6.168 6.234
angles: 114.45 97.06 107.37
Sites, in units of the cell vectors:
La: 0.500 0.000 0.000
Os: 0.000 0.500 0.000
Sr: 0.000 0.000 0.500
Sr: 0.500 0.500 0.500

Values from the calculation:
N(E_F) = 4.0 states/eV per cell
space-group type = C2/m

---

Version B
Here is crystalline Sr2LaOs at its relaxed geometry from Alexandria via LeMat-Bulk. Energies are from GGA-PBEsol.

abc: 3.589 3.589 10.298
angles: 90.00 90.00 90.08
Sites, in units of the cell vectors:
La: 0.000 0.000 0.412
Os: 0.500 0.500 0.270
Sr: 0.000 0.000 0.082
Sr: 0.500 0.500 0.736

Values from the calculation:
N(E_F) = 3.8 states/eV per cell
space-group type = Cmm2

---

version B comes first in stability; the runner-up is 56.7 kJ/mol of atoms higher.